# AgS3O | Alexandria via LeMat-Bulk | GGA-PBE | relaxed
data_AgS3O
_chemical_formula_sum 'Ag1 S3 O1'
_cell_length_a 4.299
_cell_length_b 4.299
_cell_length_c 4.299
_cell_angle_alpha 90.00
_cell_angle_beta 90.00
_cell_angle_gamma 90.00
_space_group_name_H-M_alt 'P m -3 m'
_space_group_IT_number 221
_space_group_name_Hall '-P 4 2 3'
loop_
_atom_site_label
_atom_site_type_symbol
_atom_site_fract_x
_atom_site_fract_y
_atom_site_fract_z
Ag1 Ag 0.000 0.000 0.000
S1 S 0.000 0.500 0.500
O1 O 0.500 0.500 0.500
# ΔE to the lowest computed polymorph   0 meV per atom
# DOS at the Fermi energy   3.61 states/eV/cell
# Raw formation energy   0.857 eV per atom
# DFT total energy   -0.234 Ry/atom

---

# Ag3SO | Alexandria via LeMat-Bulk | GGA-PBE | relaxed
data_Ag3SO
_chemical_formula_sum 'Ag3 S1 O1'
_cell_length_a 4.455
_cell_length_b 4.455
_cell_length_c 4.455
_cell_angle_alpha 90.00
_cell_angle_beta 90.00
_cell_angle_gamma 90.00
_space_group_name_H-M_alt 'P m -3 m'
_space_group_IT_number 221
_space_group_name_Hall '-P 4 2 3'
loop_
_atom_site_label
_atom_site_type_symbol
_atom_site_fract_x
_atom_site_fract_y
_atom_site_fract_z
Ag1 Ag 0.000 0.000 0.500
S1 S 0.500 0.500 0.500
O1 O 0.000 0.000 0.000
# ΔE to the lowest computed polymorph   0 meV per atom
# DOS at the Fermi energy   4.14 states/eV/cell
# Raw formation energy   0.179 eV per atom
# DFT total energy   -0.246 Ry/atom

---

# Ag4SO6 | Alexandria via LeMat-Bulk | GGA-PBE | relaxed
data_Ag4SO6
_chemical_formula_sum 'Ag16 S4 O24'
_cell_length_a 11.101
_cell_length_b 5.959
_cell_length_c 12.300
_cell_angle_alpha 90.00
_cell_angle_beta 107.44
_cell_angle_gamma 90.00
_space_group_name_H-M_alt 'C 1 c 1'
_space_group_IT_number 9
_space_group_name_Hall 'C -2yc'
loop_
_atom_site_label
_atom_site_type_symbol
_atom_site_fract_x
_atom_site_fract_y
_atom_site_fract_z
Ag1 Ag 0.000 0.109 0.000
Ag2 Ag 0.012 0.269 0.728
Ag3 Ag 0.084 0.302 0.455
Ag4 Ag 0.261 0.267 0.966
S1 S 0.202 0.187 0.257
O1 O 0.064 0.345 0.904
O2 O 0.074 0.277 0.196
O3 O 0.201 0.065 0.756
O4 O 0.241 0.268 0.380
O5 O 0.296 0.270 0.202
O6 O 0.458 0.278 0.047
# DOS at the Fermi energy   22.03 states/eV/cell
# Raw formation energy   -0.494 eV per atom
# DFT total energy   -0.339 Ry/atom

---

# Ag3SO6 | Alexandria via LeMat-Bulk | GGA-PBE | relaxed
data_Ag3SO6
_chemical_formula_sum 'Ag18 S6 O36'
_cell_length_a 9.1480
_cell_length_b 9.1480
_cell_length_c 10.7302
_cell_angle_alpha 90.00
_cell_angle_beta 90.00
_cell_angle_gamma 120.00
_space_group_name_H-M_alt 'R -3'
_space_group_IT_number 148
_space_group_name_Hall '-R 3'
loop_
_atom_site_label
_atom_site_type_symbol
_atom_site_fract_x
_atom_site_fract_y
_atom_site_fract_z
Ag1 Ag 0.0573 0.5965 0.3541
S1 S 0.0000 0.0000 0.0000
S2 S 0.0000 0.0000 0.5000
O1 O 0.0464 0.8792 0.9081
O2 O 0.0590 0.8868 0.4113
# DOS at the Fermi energy   30.86 states/eV/cell
# Raw formation energy   -0.269 eV per atom
# DFT total energy   -0.332 Ry/atom

---

# AgSO6 | Alexandria via LeMat-Bulk | GGA-PBE | relaxed
data_AgSO6
_chemical_formula_sum 'Ag2 S2 O12'
_cell_length_a 9.656
_cell_length_b 5.118
_cell_length_c 4.482
_cell_angle_alpha 90.00
_cell_angle_beta 116.76
_cell_angle_gamma 90.00
_space_group_name_H-M_alt 'C 1 2/m 1'
_space_group_IT_number 12
_space_group_name_Hall '-C 2y'
loop_
_atom_site_label
_atom_site_type_symbol
_atom_site_fract_x
_atom_site_fract_y
_atom_site_fract_z
Ag1 Ag 0.000 0.000 0.000
S1 S 0.000 0.500 0.500
O1 O 0.087 0.275 0.786
O2 O 0.156 0.500 0.458
# DOS at the Fermi energy   10.92 states/eV/cell
# Raw formation energy   0.065 eV per atom
# DFT total energy   -0.333 Ry/atom

---

# AgSO2 | Alexandria via LeMat-Bulk | GGA-PBE | relaxed
data_AgSO2
_chemical_formula_sum 'Ag3 S3 O6'
_cell_length_a 3.1315
_cell_length_b 3.1315
_cell_length_c 18.9978
_cell_angle_alpha 90.00
_cell_angle_beta 90.00
_cell_angle_gamma 120.00
_space_group_name_H-M_alt 'R -3 m'
_space_group_IT_number 166
_space_group_name_Hall '-R 3 2"'
loop_
_atom_site_label
_atom_site_type_symbol
_atom_site_fract_x
_atom_site_fract_y
_atom_site_fract_z
Ag1 Ag 0.0000 0.0000 0.0000
S1 S 0.0000 0.0000 0.5000
O1 O 0.0000 0.0000 0.4146
# DOS at the Fermi energy   7.57 states/eV/cell
# Raw formation energy   -0.066 eV per atom
# DFT total energy   -0.315 Ry/atom

---

# AgSbS2O8 | Alexandria via LeMat-Bulk | GGA-PBE | relaxed
data_AgSbS2O8
_chemical_formula_sum 'Ag3 Sb3 S6 O24'
_cell_length_a 5.0352
_cell_length_b 5.0352
_cell_length_c 22.7457
_cell_angle_alpha 90.00
_cell_angle_beta 90.00
_cell_angle_gamma 120.00
_space_group_name_H-M_alt 'R -3'
_space_group_IT_number 148
_space_group_name_Hall '-R 3'
loop_
_atom_site_label
_atom_site_type_symbol
_atom_site_fract_x
_atom_site_fract_y
_atom_site_fract_z
Ag1 Ag 0.0000 0.0000 0.0000
Sb1 Sb 0.0000 0.0000 0.5000
S1 S 0.0000 0.0000 0.2513
O1 O 0.0000 0.0000 0.3155
O2 O 0.0058 0.7222 0.7720
# DOS at the Fermi energy   0.00 states/eV/cell
# Raw formation energy   -1.125 eV per atom
# DFT total energy   -0.419 Ry/atom

---

# ScAg2SO6 | Alexandria via LeMat-Bulk | GGA-PBE | relaxed
data_ScAg2SO6
_chemical_formula_sum 'Sc1 Ag2 S1 O6'
_cell_length_a 6.0772
_cell_length_b 6.0772
_cell_length_c 5.3210
_cell_angle_alpha 90.00
_cell_angle_beta 90.00
_cell_angle_gamma 120.00
_space_group_name_H-M_alt 'P -3 m 1'
_space_group_IT_number 164
_space_group_name_Hall '-P 3 2"'
loop_
_atom_site_label
_atom_site_type_symbol
_atom_site_fract_x
_atom_site_fract_y
_atom_site_fract_z
Sc1 Sc 0.0000 0.0000 0.0000
Ag1 Ag 0.3333 0.6667 0.3990
S1 S 0.0000 0.0000 0.5000
O1 O 0.1279 0.2558 0.3079
# DOS at the Fermi energy   6.04 states/eV/cell
# Raw formation energy   -1.000 eV per atom
# DFT total energy   -0.411 Ry/atom

---

# ScAgS2O8 | Alexandria via LeMat-Bulk | GGA-PBE | relaxed
data_ScAgS2O8
_chemical_formula_sum 'Sc2 Ag2 S4 O16'
_cell_length_a 8.653
_cell_length_b 5.384
_cell_length_c 7.819
_cell_angle_alpha 90.00
_cell_angle_beta 96.72
_cell_angle_gamma 90.00
_space_group_name_H-M_alt 'C 1 2/m 1'
_space_group_IT_number 12
_space_group_name_Hall '-C 2y'
loop_
_atom_site_label
_atom_site_type_symbol
_atom_site_fract_x
_atom_site_fract_y
_atom_site_fract_z
Sc1 Sc 0.000 0.000 0.000
Ag1 Ag 0.000 0.000 0.500
S1 S 0.171 0.500 0.216
O1 O 0.069 0.275 0.188
O2 O 0.217 0.000 0.915
O3 O 0.249 0.500 0.392
# DOS at the Fermi energy   0.00 states/eV/cell
# Raw formation energy   -1.714 eV per atom
# DFT total energy   -0.476 Ry/atom

---

# SiAg6SO8 | Alexandria via LeMat-Bulk | GGA-PBE | relaxed
data_SiAg6SO8
_chemical_formula_sum 'Si4 Ag24 S4 O32'
_cell_length_a 7.047
_cell_length_b 7.047
_cell_length_c 18.321
_cell_angle_alpha 90.00
_cell_angle_beta 90.00
_cell_angle_gamma 90.00
_space_group_name_H-M_alt 'I 41/a m d'
_space_group_IT_number 141
loop_
_space_group_symop_operation_xyz
'x,y,z'
'-x,-y,-z'
'-y+1/4,x+3/4,z+1/4'
'y+1/4,-x+3/4,-z+1/4'
'-x+1/2,-y,z+1/2'
'x+1/2,y,-z+1/2'
'y+1/4,-x+1/4,z+3/4'
'-y+1/4,x+1/4,-z+3/4'
'x,-y,-z'
'-x,y,z'
'-y+1/4,-x+1/4,-z+3/4'
'y+1/4,x+1/4,z+3/4'
'-x+1/2,y,-z+1/2'
'x+1/2,-y,z+1/2'
'y+1/4,x+3/4,-z+1/4'
'-y+1/4,-x+3/4,z+1/4'
'x+1/2,y+1/2,z+1/2'
'-x+1/2,-y+1/2,-z+1/2'
'-y+3/4,x+1/4,z+3/4'
'y+3/4,-x+1/4,-z+3/4'
'-x,-y+1/2,z'
'x,y+1/2,-z'
'y+3/4,-x+3/4,z+1/4'
'-y+3/4,x+3/4,-z+1/4'
'x+1/2,-y+1/2,-z+1/2'
'-x+1/2,y+1/2,z+1/2'
'-y+3/4,-x+3/4,-z+1/4'
'y+3/4,x+3/4,z+1/4'
'-x,y+1/2,-z'
'x,-y+1/2,z'
'y+3/4,x+1/4,-z+3/4'
'-y+3/4,-x+1/4,z+3/4'
loop_
_atom_site_label
_atom_site_type_symbol
_atom_site_fract_x
_atom_site_fract_y
_atom_site_fract_z
Si1 Si 0.000 0.250 0.375
Ag1 Ag 0.000 0.250 0.140
Ag2 Ag 0.206 0.000 0.500
S1 S 0.000 0.250 0.875
O1 O 0.000 0.055 0.324
O2 O 0.000 0.076 0.922
# DOS at the Fermi energy   4.44 states/eV/cell
# Raw formation energy   -0.933 eV per atom
# DFT total energy   -0.373 Ry/atom

---

# SmAgSO | Alexandria via LeMat-Bulk | GGA-PBE | relaxed
data_SmAgSO
_chemical_formula_sum 'Sm6 Ag6 S6 O6'
_cell_length_a 4.0239
_cell_length_b 4.0239
_cell_length_c 31.6974
_cell_angle_alpha 90.00
_cell_angle_beta 90.00
_cell_angle_gamma 120.00
_space_group_name_H-M_alt 'R -3 m'
_space_group_IT_number 166
_space_group_name_Hall '-R 3 2"'
loop_
_atom_site_label
_atom_site_type_symbol
_atom_site_fract_x
_atom_site_fract_y
_atom_site_fract_z
Sm1 Sm 0.0000 0.0000 0.1211
Ag1 Ag 0.0000 0.0000 0.3060
S1 S 0.0000 0.0000 0.3963
O1 O 0.0000 0.0000 0.1938
# Raw formation energy   -1.917 eV per atom
# DFT total energy   -0.447 Ry/atom

---

# SmAg2SO6 | Alexandria via LeMat-Bulk | GGA-PBE | relaxed
data_SmAg2SO6
_chemical_formula_sum 'Sm1 Ag2 S1 O6'
_cell_length_a 5.8205
_cell_length_b 5.8205
_cell_length_c 5.8111
_cell_angle_alpha 90.00
_cell_angle_beta 90.00
_cell_angle_gamma 120.00
_space_group_name_H-M_alt 'P -3 m 1'
_space_group_IT_number 164
_space_group_name_Hall '-P 3 2"'
loop_
_atom_site_label
_atom_site_type_symbol
_atom_site_fract_x
_atom_site_fract_y
_atom_site_fract_z
Sm1 Sm 0.0000 0.0000 0.0000
Ag1 Ag 0.3333 0.6667 0.4827
S1 S 0.0000 0.0000 0.5000
O1 O 0.1358 0.2716 0.6733
# DOS at the Fermi energy   8.87 states/eV/cell
# Raw formation energy   -0.945 eV per atom
# DFT total energy   -0.395 Ry/atom